# 1
Here is crystalline BaNdHo4S8 at its relaxed geometry from Alexandria. Energies are from PBE.

It has space group R3m (No. 160, hexagonal axes), with a = 8.2129 Å, b = 8.2129 Å, c = 20.4875 Å, α = 90.00°, β = 90.00° and γ = 120.00°. The asymmetric unit holds Ba at (0.0000, 0.0000, 0.0000), Nd at (0.0000, 0.0000, 0.3710), Ho at (0.0000, 0.0000, 0.7476), Ho at (0.0045, 0.5023, 0.8734), S at (0.0000, 0.0000, 0.1417), S at (0.0000, 0.0000, 0.6156), S at (0.0128, 0.5064, 0.1279) and S at (0.1879, 0.3757, 0.9464).

---

# 2
Here is crystalline NaNd2TmSe4 at its relaxed geometry from Alexandria. Energies are from PBE.

It has space group P2/m (No. 10), with a = 7.2123 Å, b = 4.1437 Å, c = 7.2437 Å, α = 90.00°, β = 109.00° and γ = 90.00°. The asymmetric unit holds Na at (0.0000, 0.0000, 0.0000), Nd at (0.0000, 0.5000, 0.5000), Nd at (0.5000, 0.0000, 0.5000), Tm at (0.5000, 0.5000, 0.0000), Se at (0.2534, 0.5000, 0.2406) and Se at (0.2590, 0.0000, 0.7661).

---

Energy relative to the elements, uncorrected readings, ordered: -1.957, -1.731 eV/atom
Ρ readings, ordered: 4.99, 6.46 g/cm³